1.
# GGA-PBEsol ZrZnCl3, optimized geometry
# Electronic total energy = -17.78 eV/f.u.
# Space group = Pm-3m (221)
# Formation energy from raw total energies = -5.00 kcal/mol of atoms
# Crystal system = cubic
# Total magnetic moment = 2.7 μB/cell
data_ZrZnCl3
_chemical_formula_sum 'Zr1 Zn1 Cl3'
_cell_length_a 4.7355
_cell_length_b 4.7355
_cell_length_c 4.7355
_cell_angle_alpha 90.00
_cell_angle_beta 90.00
_cell_angle_gamma 90.00
_space_group_name_H-M_alt 'P 1'
_space_group_IT_number 1
loop_
_space_group_symop_operation_xyz
'x,y,z'
loop_
_atom_site_label
_atom_site_fract_x
_atom_site_fract_y
_atom_site_fract_z
Zr1 0.0000 0.0000 0.0000
Zn1 0.5000 0.5000 0.5000
Cl1 0.0000 0.5000 0.5000
Cl2 0.5000 0.0000 0.5000
Cl3 0.5000 0.5000 0.0000

2.
# GGA-PBEsol ZrZn2Cl, optimized geometry
# Electronic total energy = -15.58 eV/f.u.
# Space group = Cm (8)
# Formation energy from raw total energies = -7.57 kcal/mol of atoms
# Crystal system = monoclinic
# Total magnetic moment = 0.0 μB/cell
data_ZrZn2Cl
_chemical_formula_sum 'Zr2 Zn4 Cl2'
_cell_length_a 9.3273
_cell_length_b 3.1956
_cell_length_c 5.1189
_cell_angle_alpha 90.00
_cell_angle_beta 113.22
_cell_angle_gamma 90.00
_space_group_name_H-M_alt 'P 1'
_space_group_IT_number 1
loop_
_space_group_symop_operation_xyz
'x,y,z'
loop_
_atom_site_label
_atom_site_fract_x
_atom_site_fract_y
_atom_site_fract_z
Zr1 0.0000 0.0000 0.0000
Zr2 0.5000 0.5000 0.0000
Zn1 0.2408 0.5000 0.4378
Zn2 0.4885 0.0000 0.5282
Zn3 0.7408 0.0000 0.4378
Zn4 0.9885 0.5000 0.5282
Cl1 0.2789 0.0000 0.9753
Cl2 0.7789 0.5000 0.9753

Question: total magnetic moment of number 1 (ZrZnCl3)?
Answer: 2.7 μB/cell